1.
# Tc2PtBr (GGA-PBEsol, relaxed)
data_Tc2PtBr
_symmetry_space_group_name_H-M 'P 4/m m m'
_symmetry_Int_Tables_number 123
_symmetry_space_group_name_Hall '-P 4 2'
_cell_length_a 4.551
_cell_length_b 4.551
_cell_length_c 2.884
_cell_angle_alpha 90.00
_cell_angle_beta 90.00
_cell_angle_gamma 90.00
loop_
_atom_site_label
_atom_site_fract_x
_atom_site_fract_y
_atom_site_fract_z
_atom_site_occupancy
Tc1 0.000 0.500 0.000 1
Pt1 0.000 0.000 0.500 1
Br1 0.500 0.500 0.500 1
# **Relative energy among the computed polymorphs**: 0 meV/atom
# **Total moment**: 0.00 Bohr magnetons per cell
# **Raw formation energy**: 0.664 eV per atom

2.
# TcPtBr2 (GGA-PBEsol, relaxed)
data_TcPtBr2
_symmetry_space_group_name_H-M 'I m m m'
_symmetry_Int_Tables_number 71
_symmetry_space_group_name_Hall '-I 2 2'
_cell_length_a 2.982
_cell_length_b 4.513
_cell_length_c 12.879
_cell_angle_alpha 90.00
_cell_angle_beta 90.00
_cell_angle_gamma 90.00
loop_
_atom_site_label
_atom_site_fract_x
_atom_site_fract_y
_atom_site_fract_z
_atom_site_occupancy
Tc1 0.000 0.000 0.000 1
Pt1 0.000 0.000 0.500 1
Br1 0.000 0.500 0.342 1
# **Total moment**: 2.08 Bohr magnetons per cell
# **Raw formation energy**: 0.363 eV per atom

3.
# TePtBr2 (GGA-PBEsol, relaxed)
data_TePtBr2
_symmetry_space_group_name_H-M 'C m m m'
_symmetry_Int_Tables_number 65
_symmetry_space_group_name_Hall '-C 2 2'
_cell_length_a 3.441
_cell_length_b 6.081
_cell_length_c 9.857
_cell_angle_alpha 90.00
_cell_angle_beta 90.00
_cell_angle_gamma 90.00
loop_
_atom_site_label
_atom_site_fract_x
_atom_site_fract_y
_atom_site_fract_z
_atom_site_occupancy
Te1 0.000 0.000 0.000 1
Pt1 0.000 0.000 0.500 1
Br1 0.000 0.500 0.324 1
# **Total moment**: 0.00 Bohr magnetons per cell
# **Raw formation energy**: 0.168 eV per atom

4.
# TePtBr2 (GGA-PBEsol, relaxed)
data_TePtBr2
_symmetry_space_group_name_H-M 'C 1 m 1'
_symmetry_Int_Tables_number 8
_symmetry_space_group_name_Hall 'C -2y'
_cell_length_a 6.685
_cell_length_b 3.859
_cell_length_c 8.240
_cell_angle_alpha 90.00
_cell_angle_beta 105.60
_cell_angle_gamma 90.00
loop_
_atom_site_label
_atom_site_fract_x
_atom_site_fract_y
_atom_site_fract_z
_atom_site_occupancy
Te1 0.000 0.000 0.000 1
Pt1 0.273 0.000 0.819 1
Br1 0.046 0.500 0.635 1
Br2 0.252 0.500 0.258 1
# **Total moment**: 0.00 Bohr magnetons per cell
# **Raw formation energy**: -0.345 eV per atom

5.
# Te2PtBr (GGA-PBEsol, relaxed)
data_Te2PtBr
_symmetry_space_group_name_H-M 'R -3 m'
_symmetry_Int_Tables_number 166
_symmetry_space_group_name_Hall '-R 3 2"'
_cell_length_a 3.1026
_cell_length_b 3.1026
_cell_length_c 34.8875
_cell_angle_alpha 90.00
_cell_angle_beta 90.00
_cell_angle_gamma 120.00
loop_
_atom_site_label
_atom_site_fract_x
_atom_site_fract_y
_atom_site_fract_z
_atom_site_occupancy
Te1 0.0000 0.0000 0.0733 1
Pt1 0.0000 0.0000 0.0000 1
Br1 0.0000 0.0000 0.5000 1
# **Total moment**: 0.00 Bohr magnetons per cell
# **Raw formation energy**: 0.153 eV per atom

6.
# Te2PtBr (GGA-PBEsol, relaxed)
data_Te2PtBr
_symmetry_space_group_name_H-M 'R -3 m'
_symmetry_Int_Tables_number 166
_symmetry_space_group_name_Hall '-R 3 2"'
_cell_length_a 4.0737
_cell_length_b 4.0737
_cell_length_c 24.9282
_cell_angle_alpha 90.00
_cell_angle_beta 90.00
_cell_angle_gamma 120.00
loop_
_atom_site_label
_atom_site_fract_x
_atom_site_fract_y
_atom_site_fract_z
_atom_site_occupancy
Te1 0.0000 0.0000 0.1139 1
Pt1 0.0000 0.0000 0.5000 1
Br1 0.0000 0.0000 0.0000 1
# **Total moment**: 0.00 Bohr magnetons per cell
# **Raw formation energy**: -0.323 eV per atom

7.
# Te2PtBr (GGA-PBEsol, relaxed)
data_Te2PtBr
_symmetry_space_group_name_H-M 'C 1 2/m 1'
_symmetry_Int_Tables_number 12
_symmetry_space_group_name_Hall '-C 2y'
_cell_length_a 6.986
_cell_length_b 4.029
_cell_length_c 7.621
_cell_angle_alpha 90.00
_cell_angle_beta 108.05
_cell_angle_gamma 90.00
loop_
_atom_site_label
_atom_site_fract_x
_atom_site_fract_y
_atom_site_fract_z
_atom_site_occupancy
Te1 0.229 0.000 0.182 1
Pt1 0.000 0.500 0.000 1
Br1 0.000 0.000 0.500 1
# **Total moment**: 0.00 Bohr magnetons per cell
# **Raw formation energy**: -0.413 eV per atom

8.
# Te2PtBr (GGA-PBEsol, relaxed)
data_Te2PtBr
_symmetry_space_group_name_H-M 'P 4/m m m'
_symmetry_Int_Tables_number 123
_symmetry_space_group_name_Hall '-P 4 2'
_cell_length_a 5.284
_cell_length_b 5.284
_cell_length_c 3.123
_cell_angle_alpha 90.00
_cell_angle_beta 90.00
_cell_angle_gamma 90.00
loop_
_atom_site_label
_atom_site_fract_x
_atom_site_fract_y
_atom_site_fract_z
_atom_site_occupancy
Te1 0.000 0.500 0.000 1
Pt1 0.000 0.000 0.500 1
Br1 0.500 0.500 0.500 1
# **Total moment**: 0.00 Bohr magnetons per cell
# **Raw formation energy**: 0.347 eV per atom